Entry 1:
Density functional theory data (PBE) for K2Ni2Hg3S8 after structural relaxation.

Summary:
The value obtained for the spin magnetization is 0.00 μB per formula unit. Its crystal system is monoclinic. The calculation puts the calculated volume at 772.7 Å³ per cell. For the calculated total energy, the calculation gives -3.3857 eV/atom.

Cell lengths 9.7331, 7.7936, 10.1915 Å; angles 90.00, 91.69, 90.00 degrees
With the nearest neighbours (Å) after each atom.
Space group C2 (No. 5)
Asymmetric unit:
K 0.2148 0.0000 0.2697 [4 per cell]  7 S 3.25-3.42
Ni 0.2420 0.4893 0.2355 [4 per cell]  4 S 2.09-2.17
Hg 0.0000 0.1702 0.0000 [2 per cell]  2 S 2.43
Hg 0.0000 0.3709 0.5000 [2 per cell]  2 S 2.37
Hg 0.0000 0.6529 0.0000 [2 per cell]  2 S 2.44
S 0.0480 0.6264 0.2358 [4 per cell]  1 Ni 2.17
S 0.0941 0.1662 0.7815 [4 per cell]  1 Ni 2.12
S 0.2285 0.3693 0.4270 [4 per cell]  1 Ni 2.17, 1 Hg 2.37
S 0.2302 0.8899 0.9526 [4 per cell]  1 Ni 2.09


Entry 2:
Density functional theory data (PBE) for ErSnTeAuSe2 after structural relaxation.

Summary:
The value obtained for the spin magnetization is 0.00 μB per formula unit. Its crystal system is orthorhombic. The calculation puts the calculated volume at 636.6 Å³ per cell. For the calculated total energy, the calculation gives -4.4493 eV/atom.

Cell lengths 4.0772, 14.1472, 11.0364 Å; angles 90.00, 90.00, 90.00 degrees
With the nearest neighbours (Å) after each atom.
Space group Cmcm (No. 63)
Asymmetric unit:
Er 0.0000 0.0000 0.0000 [4 per cell]  4 Se 2.89, 2 Te 3.13
Sn 0.0000 0.2004 0.2500 [4 per cell]  4 Se 3.11, 2 Au 3.14, 2 Te 3.44
Te 0.0000 0.1041 0.7500 [4 per cell]  2 Au 2.80, 2 Er 3.13
Au 0.0000 0.4682 0.7500 [4 per cell]  2 Se 2.65, 2 Te 2.80
Se 0.0000 0.3616 0.5527 [8 per cell]  1 Au 2.65, 2 Er 2.89


Entry 3:
Density functional theory data (PBE) for CsCoHgTe3 after structural relaxation.

Summary:
The value obtained for the spin magnetization is 0.23 μB per formula unit. Its crystal system is orthorhombic. The calculation puts the calculated volume at 795.6 Å³ per cell. For the calculated total energy, the calculation gives -3.1561 eV/atom.

Cell lengths 3.9190, 17.9390, 11.3163 Å; angles 90.00, 90.00, 90.00 degrees
With the nearest neighbours (Å) after each atom.
Space group Cmcm (No. 63)
Asymmetric unit:
Cs 0.0000 0.2344 0.2500 [4 per cell]  2 Hg 3.74, 4 Te 3.83-3.95, 2 Cs 3.92
Co 0.0000 0.5000 0.0000 [4 per cell]  4 Te 2.59
Hg 0.0000 0.0882 0.7500 [4 per cell]  4 Te 2.77-3.07
Te 0.0000 0.0945 0.5054 [8 per cell]  2 Co 2.59, 1 Hg 2.77
Te 0.0000 0.4567 0.7500 [4 per cell]  2 Co 2.93, 2 Hg 3.07


Entry 4:
Density functional theory data (PBE) for HoIBr2 after structural relaxation.

Summary:
The value obtained for the spin magnetization is 0.00 μB per formula unit. Its crystal system is monoclinic. The calculation puts the calculated volume at 619.0 Å³ per cell. For the calculated total energy, the calculation gives -4.0825 eV/atom.

Cell lengths 7.1616, 12.8277, 7.1171 Å; angles 90.00, 108.78, 90.00 degrees
With the nearest neighbours (Å) after each atom.
Space group C2/m (No. 12)
Asymmetric unit:
Ho 0.0000 0.1703 0.0000 [4 per cell]  4 Br 2.79-2.80, 2 I 3.02
I 0.2355 0.0000 0.2650 [4 per cell]  2 Ho 3.02
Br 0.2460 0.1813 0.7643 [8 per cell]  2 Ho 2.79-2.80


Entry 5:
Density functional theory data (PBE) for Lu2OsAu after structural relaxation.

Summary:
The value obtained for the spin magnetization is 0.01 μB per formula unit. For the energy of formation from the pure elements, the calculation gives -0.2 eV per formula unit. Its crystal system is cubic. The calculation puts the calculated volume at 307.4 Å³ per cell.

Cell lengths 6.7487, 6.7487, 6.7487 Å; angles 90.00, 90.00, 90.00 degrees
With the nearest neighbours (Å) after each atom.
Space group F-43m (No. 216)
Asymmetric unit:
Lu 0.0000 0.0000 0.0000 [4 per cell]  4 Lu 2.92, 4 Au 2.92
Lu 0.2500 0.2500 0.2500 [4 per cell]  4 Os 2.92, 4 Lu 2.92
Os 0.0000 0.0000 0.5000 [4 per cell]  4 Lu 2.92, 4 Au 2.92
Au 0.2500 0.2500 0.7500 [4 per cell]  4 Os 2.92, 4 Lu 2.92


Entry 6:
Density functional theory data (PBE) for PmGaAsO after structural relaxation.

Summary:
The value obtained for the spin magnetization is 0.01 μB per formula unit. Its crystal system is tetragonal. The calculation puts the calculated volume at 179.8 Å³ per cell. For the calculated total energy, the calculation gives -4.9363 eV/atom.

Cell lengths 4.2690, 4.2690, 9.8679 Å; angles 90.00, 90.00, 90.00 degrees
With the nearest neighbours (Å) after each atom.
Space group P4/nmm (No. 129, origin choice 2)
Asymmetric unit:
Pm 0.2500 0.7500 0.0000 [2 per cell]  4 As 2.90, 4 Pm 3.02
Ga 0.2500 0.2500 0.4465 [2 per cell]  4 O 2.20, 1 As 2.44
As 0.2500 0.2500 0.1991 [2 per cell]  1 Ga 2.44
O 0.2500 0.7500 0.5000 [2 per cell]  4 Ga 2.20


Entry 7:
Density functional theory data (PBE) for Lu2AuC after structural relaxation.

Summary:
The value obtained for the spin magnetization is 0.01 μB per formula unit. Its crystal system is monoclinic. The calculation puts the calculated volume at 920.2 Å³ per cell. For the calculated total energy, the calculation gives -5.9768 eV/atom.

Cell lengths 10.7663, 6.2217, 14.1981 Å; angles 90.00, 104.65, 90.00 degrees
With the nearest neighbours (Å) after each atom.
Space group C2/c (No. 15)
Asymmetric unit:
Lu 0.0522 0.0833 0.4065 [8 per cell]  3 C 2.44
Lu 0.1148 0.4173 0.5939 [8 per cell]  3 C 2.44
Lu 0.2187 0.4170 0.9061 [8 per cell]  3 C 2.44
Au 0.0000 0.4149 0.2500 [4 per cell]  6 Lu 2.98-2.99
Au 0.1650 0.0848 0.7499 [8 per cell]  6 Lu 2.98-2.99
C 0.0834 0.2502 0.0000 [8 per cell]  6 Lu 2.44
C 0.2500 0.2500 0.5000 [4 per cell]  6 Lu 2.44


Entry 8:
Density functional theory data (PBE) for NbTe2 after structural relaxation.

Summary:
The value obtained for the spin magnetization is 0.35 μB per formula unit. Its crystal system is cubic. The calculation puts the calculated volume at 613.0 Å³ per cell. For the calculated total energy, the calculation gives -4.1652 eV/atom.

Cell lengths 8.4947, 8.4947, 8.4947 Å; angles 90.00, 90.00, 90.00 degrees
With the nearest neighbours (Å) after each atom.
Space group Fd-3m (No. 227, origin choice 2)
Asymmetric unit:
Nb 0.1250 0.1250 0.1250 [8 per cell]  12 Te 3.52, 4 Nb 3.68
Te 0.0000 0.0000 0.5000 [16 per cell]  6 Te 3.00